## Na2P4Pd5 (PBE)

Data for a relaxed structure of Na2P4Pd5.

**Formation energy from the elements**: -9.1 kcal/mol of atoms
**Magnetization**: 0.0 Bohr magnetons per cell

a = 8.4402 Å, b = 6.8116 Å, c = 6.5200 Å
α = 78.52°, β = 52.27°, γ = 49.20°
Last column: nearest neighbours and their distance in Å.
Fractional coordinates of all 11 atoms:
Na (0.1451, 0.1451, 0.8549)  6 P 3.30-3.47, 6 Pd 3.46-3.50, 1 Na 3.56
Na (0.8549, 0.8549, 0.1451)  6 P 3.30-3.47, 6 Pd 3.46-3.50, 1 Na 3.56
P (0.2194, 0.5244, 0.4756)  5 Pd 2.37-2.44
P (0.4756, 0.7806, 0.2194)  5 Pd 2.37-2.44
P (0.5244, 0.2194, 0.7806)  5 Pd 2.37-2.44
P (0.7806, 0.4756, 0.5244)  5 Pd 2.37-2.44
Pd (0.0000, 0.0000, 0.5000)  4 P 2.44
Pd (0.2500, 0.2500, 0.2500)  4 P 2.39
Pd (0.5000, 0.5000, 0.0000)  4 P 2.44
Pd (0.5000, 0.5000, 0.5000)  4 P 2.37
Pd (0.7500, 0.7500, 0.7500)  4 P 2.39